# V2H3O6 | Alexandria via LeMat-Bulk | PBE+U | optimized geometry
data_V2H3O6
_space_group_name_H-M_alt 'C 1 2/c 1'
_space_group_IT_number 15
_space_group_name_Hall '-C 2yc'
_cell_length_a 9.029
_cell_length_b 5.243
_cell_length_c 9.484
_cell_angle_alpha 90.00
_cell_angle_beta 104.29
_cell_angle_gamma 90.00
loop_
_atom_site_label
_atom_site_type_symbol
_atom_site_fract_x
_atom_site_fract_y
_atom_site_fract_z
_atom_site_occupancy
V1 V 0.073 0.242 0.001 1
H1 H 0.000 0.445 0.250 1
H2 H 0.181 0.119 0.778 1
O1 O 0.017 0.451 0.380 1
O2 O 0.089 0.062 0.610 1
O3 O 0.219 0.152 0.885 1
# * uncorrected energy: -6.46 eV per atom
# * total magnetization: 1.0 μB per formula unit